# Na2NpPa2N6, optimized geometry, DFT GGA-PBE
data_Na2NpPa2N6
_chemical_formula_sum 'Na4 Np2 Pa4 N12'
_space_group_name_H-M_alt 'C 1 2/m 1'
_space_group_IT_number 12
_space_group_name_Hall '-C 2y'
_cell_length_a 6.104
_cell_length_b 10.692
_cell_length_c 5.984
_cell_angle_alpha 90.00
_cell_angle_beta 106.75
_cell_angle_gamma 90.00
loop_
_atom_site_label
_atom_site_fract_x
_atom_site_fract_y
_atom_site_fract_z
Na1 0.000 0.159 0.000
Np1 0.000 0.000 0.500
Pa1 0.000 0.333 0.500
N1 0.209 0.167 0.671
N2 0.245 0.500 0.668
# Raw formation energy   -12.3 eV per formula unit
# Calculated volume   374 Å³/cell
# Energy   -0.647 Ry/atom
# Magnetization   0.091 μB per atom
# Crystal system   monoclinic